Record 1
Computed, not measured: a geometry-optimized BaCoP2 structure at the GGA-PBE level of DFT.

Properties
* size of the total moment: 1.46 μB/f.u.
* V: 334 Å³ per cell
* energy above the most stable polymorph in this dataset: 961 meV/atom
* energy of formation: 0.353 eV per atom

Cell: 6.9401 6.9401 6.9401 Å, 90.00 90.00 90.00°
With the nearest neighbours (Å) after each atom.
Space group Fm-3m (No. 225)
Unique sites:
Ba 0.0000 0.0000 0.0000 x4  8 P 3.01
Co 0.0000 0.0000 0.5000 x4  8 P 3.01
P 0.2500 0.2500 0.2500 x8  4 Co 3.01, 4 Ba 3.01



Record 2
Computed, not measured: a geometry-optimized Sm2PaAu structure at the GGA-PBE level of DFT.

Properties
* size of the total moment: 0.00 μB/f.u.
* V: 325 Å³ per cell
* energy above the most stable polymorph in this dataset: 351 meV/atom
* energy of formation: 0.106 eV per atom

Cell: 3.3081 3.3081 34.3373 Å, 90.00 90.00 120.00°
With the nearest neighbours (Å) after each atom.
Space group R-3m (No. 166, hexagonal axes)
Unique sites:
Sm 0.0000 0.0000 0.0952 x6  3 Au 3.11, 1 Pa 3.27, 6 Sm 3.31
Pa 0.0000 0.0000 0.0000 x3  2 Sm 3.27, 6 Pa 3.31
Au 0.0000 0.0000 0.5000 x3  6 Sm 3.11, 6 Au 3.31